This record from Alexandria describes an optimized crystal structure of Ba2InAg2. The functional is PBE-GGA.

Results
Energy of formation from the pure elements   -18.5 kJ/mol of atoms

Geometry as CIF:
```
data_Ba2InAg2
_chemical_formula_sum 'Ba4 In2 Ag4'
_space_group_name_H-M_alt 'I 4/m m m'
_space_group_IT_number 139
_space_group_name_Hall '-I 4 2'
_cell_length_a 6.549
_cell_length_b 6.549
_cell_length_c 8.361
_cell_angle_alpha 90.00
_cell_angle_beta 90.00
_cell_angle_gamma 90.00
loop_
_atom_site_label
_atom_site_fract_x
_atom_site_fract_y
_atom_site_fract_z
Ba1 0.000 0.500 0.250
In1 0.000 0.000 0.000
Ag1 0.000 0.000 0.340
```

---

This record from Alexandria describes an optimized crystal structure of ScCo3Ge2. The functional is PBE-GGA.

Results
Energy of formation from the pure elements   -41.0 kJ/mol of atoms

Geometry as CIF:
```
data_ScCo3Ge2
_chemical_formula_sum 'Sc6 Co18 Ge12'
_space_group_name_H-M_alt 'C 1 2/m 1'
_space_group_IT_number 12
_cell_length_a 15.352
_cell_length_b 3.769
_cell_length_c 9.048
_cell_angle_alpha 90.00
_cell_angle_beta 106.61
_cell_angle_gamma 90.00
loop_
_space_group_symop_operation_xyz
'x,y,z'
'-x,-y,-z'
'-x,y,-z'
'x,-y,z'
'x+1/2,y+1/2,z'
'-x+1/2,-y+1/2,-z'
'-x+1/2,y+1/2,-z'
'x+1/2,-y+1/2,z'
loop_
_atom_site_label
_atom_site_fract_x
_atom_site_fract_y
_atom_site_fract_z
Sc1 0.000 0.000 0.000
Sc2 0.167 0.000 0.716
Co1 0.000 0.500 0.500
Co2 0.042 0.000 0.349
Co3 0.116 0.500 0.200
Co4 0.181 0.500 0.967
Co5 0.210 0.000 0.394
Ge1 0.040 0.500 0.784
Ge2 0.142 0.500 0.467
Ge3 0.192 0.000 0.129
```

---

This record from Alexandria describes an optimized crystal structure of MgClF2. The functional is PBE-GGA.

Results
VASP energy   -4.338 eV/atom

Geometry as CIF:
```
data_MgClF2
_chemical_formula_sum 'Mg4 Cl4 F8'
_space_group_name_H-M_alt 'C 1 2/m 1'
_space_group_IT_number 12
_cell_length_a 18.316
_cell_length_b 3.235
_cell_length_c 5.335
_cell_angle_alpha 90.00
_cell_angle_beta 102.33
_cell_angle_gamma 90.00
loop_
_space_group_symop_operation_xyz
'x,y,z'
'-x,-y,-z'
'-x,y,-z'
'x,-y,z'
'x+1/2,y+1/2,z'
'-x+1/2,-y+1/2,-z'
'-x+1/2,y+1/2,-z'
'x+1/2,-y+1/2,z'
loop_
_atom_site_label
_atom_site_fract_x
_atom_site_fract_y
_atom_site_fract_z
Mg1 0.249 0.000 0.249
Cl1 0.019 0.500 0.190
F1 0.198 0.000 0.547
F2 0.198 0.500 0.045
```

---

This record from Alexandria describes an optimized crystal structure of MoSeCl. The functional is PBE-GGA.

Results
VASP energy   -5.920 eV/atom

Geometry as CIF:
```
data_MoSeCl
_chemical_formula_sum 'Mo8 Se8 Cl8'
_space_group_name_H-M_alt 'C 1 m 1'
_space_group_IT_number 8
_cell_length_a 12.082
_cell_length_b 7.044
_cell_length_c 6.095
_cell_angle_alpha 90.00
_cell_angle_beta 92.63
_cell_angle_gamma 90.00
loop_
_space_group_symop_operation_xyz
'x,y,z'
'x,-y,z'
'x+1/2,y+1/2,z'
'x+1/2,-y+1/2,z'
loop_
_atom_site_label
_atom_site_fract_x
_atom_site_fract_y
_atom_site_fract_z
Mo1 0.000 0.000 0.000
Mo2 0.245 0.000 0.046
Mo3 0.494 0.293 0.598
Se1 0.122 0.000 0.391
Se2 0.123 0.271 0.920
Se3 0.343 0.500 0.715
Cl1 0.082 0.500 0.434
Cl2 0.371 0.000 0.727
Cl3 0.376 0.265 0.220
```

---

This record from Alexandria describes an optimized crystal structure of PmBi2Sb. The functional is PBE-GGA.

Results
VASP energy   -4.265 eV/atom

Geometry as CIF:
```
data_PmBi2Sb
_chemical_formula_sum 'Pm3 Bi6 Sb3'
_space_group_name_H-M_alt 'R -3 m'
_space_group_IT_number 166
_space_group_name_Hall '-R 3 2"'
_cell_length_a 3.5177
_cell_length_b 3.5177
_cell_length_c 35.7303
_cell_angle_alpha 90.00
_cell_angle_beta 90.00
_cell_angle_gamma 120.00
loop_
_atom_site_label
_atom_site_fract_x
_atom_site_fract_y
_atom_site_fract_z
Pm1 0.0000 0.0000 0.0000
Bi1 0.0000 0.0000 0.4101
Sb1 0.0000 0.0000 0.5000
```

---

This record from Alexandria describes an optimized crystal structure of LaEuHgPb. The functional is PBE-GGA.

Results
Energy of formation from the pure elements   -54.9 kJ/mol of atoms

Geometry as CIF:
```
data_LaEuHgPb
_chemical_formula_sum 'La4 Eu4 Hg4 Pb4'
_space_group_name_H-M_alt 'F -4 3 m'
_space_group_IT_number 216
_space_group_name_Hall 'F -4 2 3'
_cell_length_a 7.917
_cell_length_b 7.917
_cell_length_c 7.917
_cell_angle_alpha 90.00
_cell_angle_beta 90.00
_cell_angle_gamma 90.00
loop_
_atom_site_label
_atom_site_fract_x
_atom_site_fract_y
_atom_site_fract_z
La1 0.000 0.000 0.000
Eu1 0.000 0.000 0.500
Hg1 0.250 0.250 0.250
Pb1 0.250 0.250 0.750
```

---

This record from Alexandria describes an optimized crystal structure of TiZn4Pd. The functional is PBE-GGA.

Results
Energy of formation from the pure elements   -19.9 kJ/mol of atoms

Geometry as CIF:
```
data_TiZn4Pd
_chemical_formula_sum 'Ti4 Zn16 Pd4'
_space_group_name_H-M_alt 'F -4 3 m'
_space_group_IT_number 216
_space_group_name_Hall 'F -4 2 3'
_cell_length_a 7.083
_cell_length_b 7.083
_cell_length_c 7.083
_cell_angle_alpha 90.00
_cell_angle_beta 90.00
_cell_angle_gamma 90.00
loop_
_atom_site_label
_atom_site_fract_x
_atom_site_fract_y
_atom_site_fract_z
Ti1 0.000 0.000 0.000
Zn1 0.125 0.125 0.625
Pd1 0.250 0.250 0.250
```

---

This record from Alexandria describes an optimized crystal structure of SiBiIrAu. The functional is PBE-GGA.

Results
VASP energy   -5.447 eV/atom

Geometry as CIF:
```
data_SiBiIrAu
_chemical_formula_sum 'Si2 Bi2 Ir2 Au2'
_space_group_name_H-M_alt 'C 1 m 1'
_space_group_IT_number 8
_cell_length_a 6.915
_cell_length_b 4.116
_cell_length_c 6.100
_cell_angle_alpha 90.00
_cell_angle_beta 90.12
_cell_angle_gamma 90.00
loop_
_space_group_symop_operation_xyz
'x,y,z'
'x,-y,z'
'x+1/2,y+1/2,z'
'x+1/2,-y+1/2,z'
loop_
_atom_site_label
_atom_site_fract_x
_atom_site_fract_y
_atom_site_fract_z
Si1 0.000 0.000 0.000
Bi1 0.157 0.500 0.439
Ir1 0.162 0.500 0.989
Au1 0.319 0.000 0.711
```